## AlSn2Br (PBE)

Data for a geometry-optimized AlSn2Br structure.

Summary:
The magnetization is 0.0000 μB/atom. Its formation energy without anion corrections is 3.1 kcal/mol of atoms. As for the crystal system: cubic. The energy above the most stable polymorph in this dataset comes out at 0 meV/atom.

Geometry as CIF:
```
data_AlSn2Br
_cell_length_a 7.3908
_cell_length_b 7.3908
_cell_length_c 7.3908
_cell_angle_alpha 90.00
_cell_angle_beta 90.00
_cell_angle_gamma 90.00
_symmetry_space_group_name_H-M 'F m -3 m'
_symmetry_Int_Tables_number 225
_symmetry_space_group_name_Hall '-F 4 2 3'
loop_
_atom_site_label
_atom_site_fract_x
_atom_site_fract_y
_atom_site_fract_z
Al1 0.0000 0.0000 0.0000
Sn1 0.2500 0.2500 0.2500
Br1 0.0000 0.0000 0.5000
```